--- w ---
NaInTe: relaxed, GGA-PBE.

Structure (POSCAR):
```
NaInTe
1.0
-2.0894 2.0894 5.3128
2.0894 -2.0894 5.3128
2.0894 2.0894 -5.3128
Na In Te
1 1 1
Cartesian
0.0000 0.0000 0.0000 Na
0.0000 0.0000 3.2842 In
0.0000 0.0000 7.1630 Te
```

Output
Spin magnetization: 0.00 μB/atom
Space-group type: I4mm, No. 107

=====

--- x ---
NaInTe: relaxed, GGA-PBE.

Structure (POSCAR):
```
NaInTe
1.0
0.0000 3.8397 3.8397
3.8397 0.0000 3.8397
3.8397 3.8397 0.0000
Na In Te
1 1 1
Cartesian
0.0000 0.0000 0.0000 Na
3.8397 3.8397 3.8397 In
1.9198 1.9198 1.9198 Te
```

Output
Spin magnetization: 0.00 μB/atom
Space-group type: F-43m, No. 216

=====

Which of them is most stable, and which least? Most stable: x; least stable: w.

=====

--- w ---
NaInTe: relaxed, GGA-PBE.

Structure (POSCAR):
```
NaInTe
1.0
1.6835 0.9719 9.3190
-1.6835 0.9719 9.3190
0.0000 -1.9439 9.3190
Na In Te
1 1 1
Cartesian
0.0000 0.0000 0.0000 Na
0.0000 0.0000 3.2391 In
0.0000 0.0000 24.8918 Te
```

Output
Spin magnetization: 0.00 μB/atom
Space-group type: R3m, No. 160

=====

--- x ---
NaInTe: relaxed, GGA-PBE.

Structure (POSCAR):
```
NaInTe
1.0
4.2613 0.0000 0.0000
0.0000 5.1431 0.0000
-2.1229 0.0000 9.0197
Na In Te
2 2 2
Cartesian
-0.0117 1.2858 3.1314 Na
2.1501 3.8573 5.8884 Na
-0.0036 3.8573 0.6275 In
2.1420 1.2858 8.3923 In
0.0093 1.2858 6.3410 Te
2.1291 3.8573 2.6787 Te
```

Output
Spin magnetization: 0.00 μB/atom
Space-group type: P2_1/m, No. 11

=====

Which of them is most stable, and which least? Most stable: x; least stable: w.